VASP calculation (GGA-PBE) on crystalline ZrAsPb2 at its relaxed geometry.

Summary:
N(E_F) in states/eV/cell: 4.5
E in eV/atom: -5.28
ΔH_f (0 K) in meV/atom: -126
Symmetry: Imm2, No. 44

Cell lengths 3.623, 5.183, 10.789 Å; angles 90.00, 90.00, 90.00 degrees
Sites, in units of the cell vectors:
Zr1 0.000 0.000 0.000
Zr2 0.500 0.500 0.500
As1 0.000 0.500 0.685
As2 0.500 0.000 0.185
Pb1 0.000 0.000 0.449
Pb2 0.000 0.500 0.225
Pb3 0.500 0.000 0.725
Pb4 0.500 0.500 0.949



VASP calculation (GGA-PBE) on crystalline ZrAsPb2 at its relaxed geometry.

Summary:
N(E_F) in states/eV/cell: 2.2
E in eV/atom: -5.13
ΔH_f (0 K) in meV/atom: 19
Symmetry: P2/m, No. 10

Cell lengths 4.036, 4.066, 6.009 Å; angles 90.00, 91.41, 90.00 degrees
Sites, in units of the cell vectors:
Zr1 0.000 0.000 0.000
As1 0.000 0.000 0.500
Pb1 0.492 0.500 0.749
Pb2 0.508 0.500 0.251



VASP calculation (GGA-PBE) on crystalline ZrAsPb2 at its relaxed geometry.

Summary:
N(E_F) in states/eV/cell: 4.2
E in eV/atom: -4.91
ΔH_f (0 K) in meV/atom: 242
Symmetry: P4/mmm, No. 123

Cell lengths 3.330, 3.330, 8.958 Å; angles 90.00, 90.00, 90.00 degrees
Sites, in units of the cell vectors:
Zr1 0.000 0.000 0.000
As1 0.000 0.000 0.500
Pb1 0.500 0.500 0.255
Pb2 0.500 0.500 0.745



VASP calculation (GGA-PBE) on crystalline ZrAsPb at its relaxed geometry.

Summary:
N(E_F) in states/eV/cell: 12.6
E in eV/atom: -5.62
ΔH_f (0 K) in meV/atom: 20
Symmetry: F-43m, No. 216

Cell lengths 6.763, 6.763, 6.763 Å; angles 90.00, 90.00, 90.00 degrees
Sites, in units of the cell vectors:
Zr1 0.000 0.000 0.000
Zr2 0.000 0.500 0.500
Zr3 0.500 0.000 0.500
Zr4 0.500 0.500 0.000
As1 0.250 0.250 0.250
As2 0.250 0.750 0.750
As3 0.750 0.250 0.750
As4 0.750 0.750 0.250
Pb1 0.000 0.000 0.500
Pb2 0.000 0.500 0.000
Pb3 0.500 0.000 0.000
Pb4 0.500 0.500 0.500



VASP calculation (GGA-PBE) on crystalline Zr2AsPb4 at its relaxed geometry.

Summary:
N(E_F) in states/eV/cell: 10.8
E in eV/atom: -4.69
ΔH_f (0 K) in meV/atom: 536
Symmetry: I4/mmm, No. 139

Cell lengths 5.557, 5.557, 14.621 Å; angles 90.00, 90.00, 90.00 degrees
Sites, in units of the cell vectors:
Zr1 0.000 0.000 0.096
Zr2 0.000 0.000 0.904
Zr3 0.500 0.500 0.404
Zr4 0.500 0.500 0.596
As1 0.000 0.000 0.500
As2 0.500 0.500 0.000
Pb1 0.000 0.000 0.302
Pb2 0.000 0.000 0.698
Pb3 0.000 0.500 0.000
Pb4 0.000 0.500 0.500
Pb5 0.500 0.000 0.000
Pb6 0.500 0.000 0.500
Pb7 0.500 0.500 0.198
Pb8 0.500 0.500 0.802



VASP calculation (GGA-PBE) on crystalline Zr2As2Pb at its relaxed geometry.

Summary:
N(E_F) in states/eV/cell: 8.2
E in eV/atom: -6.57
ΔH_f (0 K) in meV/atom: -550
Symmetry: P4/mbm, No. 127

Cell lengths 7.827, 7.827, 3.534 Å; angles 90.00, 90.00, 90.00 degrees
Sites, in units of the cell vectors:
Zr1 0.146 0.354 0.000
Zr2 0.354 0.854 0.000
Zr3 0.646 0.146 0.000
Zr4 0.854 0.646 0.000
As1 0.140 0.640 0.500
As2 0.360 0.140 0.500
As3 0.640 0.860 0.500
As4 0.860 0.360 0.500
Pb1 0.000 0.000 0.500
Pb2 0.500 0.500 0.500



Please write out number 3 again, unchanged.
VASP calculation (GGA-PBE) on crystalline ZrAsPb2 at its relaxed geometry.

Summary:
N(E_F) in states/eV/cell: 4.2
E in eV/atom: -4.91
ΔH_f (0 K) in meV/atom: 242
Symmetry: P4/mmm, No. 123

Cell lengths 3.330, 3.330, 8.958 Å; angles 90.00, 90.00, 90.00 degrees
Sites, in units of the cell vectors:
Zr1 0.000 0.000 0.000
As1 0.000 0.000 0.500
Pb1 0.500 0.500 0.255
Pb2 0.500 0.500 0.745



Q: What is the ΔH_f (0 K) in the fifth record?
A: 536 meV/atom



Q: What is the N(E_F) in the fourth record?
A: 12.6 states/eV/cell